1.
Compound: NiAg2Pb
Source: the Alexandria database
Functional: PBEsol
Structure: relaxed

Values from the calculation:
ΔH_f (0 K) (eV per atom): 0.27
Space-group type: P2/m (10)
Uncorrected energy (eV/cell): -15.7
Total magnetization (μB/atom): 0.00

a b c (Å): 3.1092 4.4609 5.3173
angles (deg): 90.00 105.88 90.00
With the nearest neighbours (Å) after each atom.
Element x y z (fractional)
Ni 0.0000 0.0000 0.0000  4 Ag 2.65, 2 Pb 2.66
Ag 0.3795 0.5000 0.2223  2 Ni 2.65, 3 Ag 2.67-2.85
Ag 0.6205 0.5000 0.7777  2 Ni 2.65, 3 Ag 2.67-2.85
Pb 0.0000 0.0000 0.5000  2 Ni 2.66



2.
Compound: Sc2Se
Source: the Alexandria database
Functional: PBEsol
Structure: relaxed

Values from the calculation:
Uncorrected formation energy (eV/atom): -0.946
Space-group type: I4/mmm (139)
Uncorrected energy (eV/cell): -19.9
Total magnetization (μB/atom): 0.00

a b c (Å): 5.6163 5.6163 5.6163
angles (deg): 144.49 144.49 51.10
With the nearest neighbours (Å) after each atom.
Element x y z (fractional)
Sc 0.1542 0.1542 0.0000  4 Se 2.88, 5 Sc 3.10-3.13
Sc 0.8458 0.8458 0.0000  4 Se 2.88, 5 Sc 3.10-3.13
Se 0.5000 0.5000 0.0000  8 Sc 2.88



3.
Compound: ZrGeSO2
Source: the Alexandria database
Functional: PBEsol
Structure: relaxed

Values from the calculation:
Uncorrected formation energy (eV/atom): -1.208
Space-group type: P4/mmm (123)
Uncorrected energy (eV/cell): -35.0
Total magnetization (μB/atom): 0.00

a b c (Å): 3.9248 3.9248 6.3807
angles (deg): 90.00 90.00 90.00
With the nearest neighbours (Å) after each atom.
Element x y z (fractional)
Zr 0.0000 0.0000 0.0000  4 O 1.96
Ge 0.0000 0.0000 0.5000  4 S 2.78
S 0.5000 0.5000 0.5000  4 Ge 2.78
O 0.0000 0.5000 0.0000  2 Zr 1.96
O 0.5000 0.0000 0.0000  2 Zr 1.96